The following is a GGA-PBE calculation of a geometry-optimized Sr2SbAs structure, from Alexandria via LeMat-Bulk.

a = 3.730 Å, b = 3.731 Å, c = 8.704 Å
α = 90.00°, β = 90.00°, γ = 89.92°
Positions (direct):
Sr 0.000 0.000 0.029
Sr 0.000 0.000 0.471
As 0.500 0.500 0.250
Sb 0.500 0.500 0.750

Results
The calculation puts the formation energy from raw total energies at -0.868 eV/atom. The size of the total moment is 0.000 μB/atom. The calculation puts the total DFT energy (no corrections) at -3.902 eV/atom. As for the space-group type: Cmmm.